Here is crystalline KInPt3 at its relaxed geometry from Alexandria. Energies are from PBE-GGA.

Computed properties:
- uncorrected energy (Ry per atom) = -0.2818
- density of states at the Fermi level (states/eV/cell) = 2.62
- formation enthalpy at 0 K (meV/atom) = 557
- ρ (kg/m³) = 9330
- size of the total moment (μB per cell) = 0.000
- polymorph energy (0 for the lowest one) (meV/atom) = 0

Geometry as CIF:
```
data_KInPt3
_cell_length_a 5.086
_cell_length_b 5.086
_cell_length_c 5.086
_cell_angle_alpha 90.00
_cell_angle_beta 90.00
_cell_angle_gamma 90.00
_symmetry_space_group_name_H-M 'P m -3 m'
_symmetry_Int_Tables_number 221
_symmetry_space_group_name_Hall '-P 4 2 3'
loop_
_atom_site_label
_atom_site_type_symbol
_atom_site_fract_x
_atom_site_fract_y
_atom_site_fract_z
K1 K 0.000 0.000 0.000
In1 In 0.500 0.500 0.500
Pt1 Pt 0.000 0.500 0.500
```

---

Here is crystalline K2InPt2 at its relaxed geometry from Alexandria. Energies are from PBE-GGA.

Computed properties:
- uncorrected energy (Ry per atom) = -0.2706
- density of states at the Fermi level (states/eV/cell) = 6.94
- formation enthalpy at 0 K (meV/atom) = -278
- ρ (kg/m³) = 6993
- size of the total moment (μB per cell) = 0.000
- polymorph energy (0 for the lowest one) (meV/atom) = 0

Geometry as CIF:
```
data_K2InPt2
_cell_length_a 10.352
_cell_length_b 6.768
_cell_length_c 8.017
_cell_angle_alpha 90.00
_cell_angle_beta 99.53
_cell_angle_gamma 90.00
_symmetry_space_group_name_H-M 'C 1 2/c 1'
_symmetry_Int_Tables_number 15
_symmetry_space_group_name_Hall '-C 2yc'
loop_
_atom_site_label
_atom_site_type_symbol
_atom_site_fract_x
_atom_site_fract_y
_atom_site_fract_z
K1 K 0.143 0.125 0.133
In1 In 0.000 0.439 0.750
Pt1 Pt 0.143 0.350 0.508
```

---

Here is crystalline KInPt2 at its relaxed geometry from Alexandria. Energies are from PBE-GGA.

Computed properties:
- uncorrected energy (Ry per atom) = -0.2792
- density of states at the Fermi level (states/eV/cell) = 8.47
- formation enthalpy at 0 K (meV/atom) = 180
- ρ (kg/m³) = 10950
- size of the total moment (μB per cell) = 0.000

Geometry as CIF:
```
data_KInPt2
_cell_length_a 3.0422
_cell_length_b 3.0422
_cell_length_c 30.8831
_cell_angle_alpha 90.00
_cell_angle_beta 90.00
_cell_angle_gamma 120.00
_symmetry_space_group_name_H-M 'R 3 m'
_symmetry_Int_Tables_number 160
_symmetry_space_group_name_Hall 'R 3 -2"'
loop_
_atom_site_label
_atom_site_type_symbol
_atom_site_fract_x
_atom_site_fract_y
_atom_site_fract_z
K1 K 0.0000 0.0000 0.0000
In1 In 0.0000 0.0000 0.2296
Pt1 Pt 0.0000 0.0000 0.4927
Pt2 Pt 0.0000 0.0000 0.7522
```

---

Here is crystalline KInPt2 at its relaxed geometry from Alexandria. Energies are from PBE-GGA.

Computed properties:
- uncorrected energy (Ry per atom) = -0.3044
- density of states at the Fermi level (states/eV/cell) = 1.42
- formation enthalpy at 0 K (meV/atom) = -162
- ρ (kg/m³) = 10676
- size of the total moment (μB per cell) = 0.000

Geometry as CIF:
```
data_KInPt2
_cell_length_a 3.148
_cell_length_b 3.148
_cell_length_c 8.542
_cell_angle_alpha 90.00
_cell_angle_beta 90.00
_cell_angle_gamma 90.00
_symmetry_space_group_name_H-M 'P 4/m m m'
_symmetry_Int_Tables_number 123
_symmetry_space_group_name_Hall '-P 4 2'
loop_
_atom_site_label
_atom_site_type_symbol
_atom_site_fract_x
_atom_site_fract_y
_atom_site_fract_z
K1 K 0.000 0.000 0.000
In1 In 0.000 0.000 0.500
Pt1 Pt 0.500 0.500 0.302
```

---

Here is crystalline KIn3Pt at its relaxed geometry from Alexandria. Energies are from PBE-GGA.

Computed properties:
- uncorrected energy (Ry per atom) = -0.2410
- density of states at the Fermi level (states/eV/cell) = 3.43
- formation enthalpy at 0 K (meV/atom) = -209
- ρ (kg/m³) = 6413
- size of the total moment (μB per cell) = 0.000
- polymorph energy (0 for the lowest one) (meV/atom) = 110

Geometry as CIF:
```
data_KIn3Pt
_cell_length_a 5.311
_cell_length_b 5.311
_cell_length_c 5.311
_cell_angle_alpha 90.00
_cell_angle_beta 90.00
_cell_angle_gamma 90.00
_symmetry_space_group_name_H-M 'P m -3 m'
_symmetry_Int_Tables_number 221
_symmetry_space_group_name_Hall '-P 4 2 3'
loop_
_atom_site_label
_atom_site_type_symbol
_atom_site_fract_x
_atom_site_fract_y
_atom_site_fract_z
K1 K 0.000 0.000 0.000
In1 In 0.000 0.500 0.500
Pt1 Pt 0.500 0.500 0.500
```

---

Here is crystalline K2InPt at its relaxed geometry from Alexandria. Energies are from PBE-GGA.

Computed properties:
- uncorrected energy (Ry per atom) = -0.1907
- density of states at the Fermi level (states/eV/cell) = 1.68
- formation enthalpy at 0 K (meV/atom) = 148
- ρ (kg/m³) = 5616
- size of the total moment (μB per cell) = 0.000

Geometry as CIF:
```
data_K2InPt
_cell_length_a 3.251
_cell_length_b 3.251
_cell_length_c 10.860
_cell_angle_alpha 90.00
_cell_angle_beta 90.00
_cell_angle_gamma 90.00
_symmetry_space_group_name_H-M 'P 4/m m m'
_symmetry_Int_Tables_number 123
_symmetry_space_group_name_Hall '-P 4 2'
loop_
_atom_site_label
_atom_site_type_symbol
_atom_site_fract_x
_atom_site_fract_y
_atom_site_fract_z
K1 K 0.000 0.000 0.207
In1 In 0.500 0.500 0.500
Pt1 Pt 0.500 0.500 0.000
```

---

Here is crystalline KIn3Pt at its relaxed geometry from Alexandria. Energies are from PBE-GGA.

Computed properties:
- uncorrected energy (Ry per atom) = -0.2452
- density of states at the Fermi level (states/eV/cell) = 8.28
- formation enthalpy at 0 K (meV/atom) = -265
- ρ (kg/m³) = 6564
- size of the total moment (μB per cell) = 0.000
- polymorph energy (0 for the lowest one) (meV/atom) = 54

Geometry as CIF:
```
data_KIn3Pt
_cell_length_a 8.669
_cell_length_b 7.174
_cell_length_c 9.920
_cell_angle_alpha 90.00
_cell_angle_beta 108.35
_cell_angle_gamma 90.00
_symmetry_space_group_name_H-M 'P 1 21/c 1'
_symmetry_Int_Tables_number 14
_symmetry_space_group_name_Hall '-P 2ybc'
loop_
_atom_site_label
_atom_site_type_symbol
_atom_site_fract_x
_atom_site_fract_y
_atom_site_fract_z
K1 K 0.144 0.071 0.214
In1 In 0.144 0.602 0.083
In2 In 0.306 0.007 0.890
In3 In 0.470 0.138 0.636
Pt1 Pt 0.438 0.742 0.092
```

---

Here is crystalline KInPt2 at its relaxed geometry from Alexandria. Energies are from PBE-GGA.

Computed properties:
- uncorrected energy (Ry per atom) = -0.2908
- density of states at the Fermi level (states/eV/cell) = 3.14
- formation enthalpy at 0 K (meV/atom) = 24
- ρ (kg/m³) = 10607
- size of the total moment (μB per cell) = 0.000

Geometry as CIF:
```
data_KInPt2
_cell_length_a 3.024
_cell_length_b 3.024
_cell_length_c 9.315
_cell_angle_alpha 90.00
_cell_angle_beta 90.00
_cell_angle_gamma 90.00
_symmetry_space_group_name_H-M 'P 4 m m'
_symmetry_Int_Tables_number 99
_symmetry_space_group_name_Hall 'P 4 -2'
loop_
_atom_site_label
_atom_site_type_symbol
_atom_site_fract_x
_atom_site_fract_y
_atom_site_fract_z
K1 K 0.000 0.000 0.000
In1 In 0.500 0.500 0.671
Pt1 Pt 0.000 0.000 0.465
Pt2 Pt 0.500 0.500 0.268
```

---

Number 1: V 131.56 Å³/cell. Number 2: V 553.95 Å³/cell. Number 3: V 247.52 Å³/cell. Number 4: V 84.63 Å³/cell. Number 5: V 149.83 Å³/cell. Number 6: V 114.76 Å³/cell. Number 7: V 585.52 Å³/cell. Number 8: V 85.18 Å³/cell.